{"formula": "Cs2V2AgO6", "functional": "GGA+U", "state": "optimized geometry", "lattice_angstrom": [[-0.019, -1.938, 6.157], [5.443, 0.199, 3.463], [0.431, 5.246, 5.037]], "species": ["V", "V", "O", "O", "O", "O", "O", "O", "Cs", "Cs", "Ag"], "frac_coords": [[0.424, 0.424, 0.729], [0.576, 0.576, 0.271], [0.261, 0.714, 0.765], [0.739, 0.739, 0.235], [0.714, 0.261, 0.765], [0.261, 0.261, 0.765], [0.286, 0.739, 0.235], [0.739, 0.286, 0.235], [0.219, 0.219, 0.344], [0.781, 0.781, 0.656], [0.000, 0.000, 0.000]]}

***

{"formula": "Cs2AgWO4", "functional": "GGA+U", "state": "optimized geometry", "lattice_angstrom": [[-2.724, 4.383, 2.897], [-7.278, -0.537, 0.015], [-0.930, -3.411, 10.332]], "species": ["Cs", "Cs", "Cs", "Cs", "O", "O", "O", "O", "O", "O", "O", "O", "Ag", "Ag", "W", "W"], "frac_coords": [[0.573, 0.500, 0.854], [0.177, 0.000, 0.646], [0.823, 0.000, 0.354], [0.927, 0.500, 0.146], [0.921, 0.686, 0.581], [0.356, 0.814, 0.081], [0.829, 0.814, 0.919], [0.251, 0.186, 0.919], [0.394, 0.686, 0.419], [0.499, 0.314, 0.581], [0.563, 0.186, 0.081], [0.187, 0.314, 0.419], [0.000, 0.000, 0.000], [0.750, 0.500, 0.500], [0.250, 0.500, 0.500], [0.500, 0.000, 0.000]]}

***

{"formula": "Cs3AgW2O8", "functional": "GGA+U", "state": "optimized geometry", "lattice_angstrom": [[-2.673, 5.620, 1.879], [-3.407, -4.158, -3.656], [-2.924, -3.714, 6.950]], "species": ["W", "W", "O", "O", "O", "O", "O", "O", "O", "O", "Cs", "Cs", "Cs", "Ag"], "frac_coords": [[0.333, 0.667, 0.230], [0.667, 0.333, 0.770], [0.819, 0.181, 0.695], [0.181, 0.362, 0.305], [0.333, 0.667, 0.015], [0.362, 0.181, 0.695], [0.638, 0.819, 0.305], [0.667, 0.333, 0.985], [0.181, 0.819, 0.305], [0.819, 0.638, 0.695], [0.667, 0.333, 0.332], [0.333, 0.667, 0.668], [0.000, 0.000, 0.000], [0.000, 0.000, 0.500]], "dos_at_fermi_per_ev_cell": 0.0}

***

Number 1: electronic total energy -5.89 eV per atom. Number 2: electronic total energy -5.31 eV per atom. Number 3: electronic total energy -6.05 eV per atom.